This record from Alexandria describes an optimized crystal structure of CaAcSmLu. The functional is GGA-PBE.

Lattice parameters (Å, degrees): 5.9222 5.9222 5.9222 60.00 60.00 60.00
Sites, in units of the cell vectors:
Lu (0.7500, 0.7500, 0.7500)
Sm (0.5000, 0.5000, 0.5000)
Ac (0.0000, 0.0000, 0.0000)
Ca (0.2500, 0.2500, 0.2500)

Space group = F-43m (216)
Spin magnetization = 0.0 Bohr magnetons per cell
Energy relative to the elements = 0.1109 eV per atom

=====

This record from Alexandria describes an optimized crystal structure of SrCaAcLu. The functional is GGA-PBE.

Lattice parameters (Å, degrees): 6.1447 6.1447 6.1447 60.00 60.00 60.00
Sites, in units of the cell vectors:
Ca (0.5000, 0.5000, 0.5000)
Ac (0.7500, 0.7500, 0.7500)
Lu (0.0000, 0.0000, 0.0000)
Sr (0.2500, 0.2500, 0.2500)

Space group = F-43m (216)
Spin magnetization = 0.0 Bohr magnetons per cell
Energy relative to the elements = 0.1561 eV per atom

=====

This record from Alexandria describes an optimized crystal structure of CaAcTbLu. The functional is GGA-PBE.

Lattice parameters (Å, degrees): 5.8968 5.8968 5.8968 60.00 60.00 60.00
Sites, in units of the cell vectors:
Lu (0.2500, 0.2500, 0.2500)
Tb (0.0000, 0.0000, 0.0000)
Ca (0.7500, 0.7500, 0.7500)
Ac (0.5000, 0.5000, 0.5000)

Space group = F-43m (216)
Spin magnetization = 0.0 Bohr magnetons per cell
Energy relative to the elements = 0.1234 eV per atom

=====

This record from Alexandria describes an optimized crystal structure of CaAcTmLu. The functional is GGA-PBE.

Lattice parameters (Å, degrees): 5.8660 5.8660 5.8660 60.00 60.00 60.00
Sites, in units of the cell vectors:
Tm (0.7500, 0.7500, 0.7500)
Ac (0.5000, 0.5000, 0.5000)
Ca (0.2500, 0.2500, 0.2500)
Lu (0.0000, 0.0000, 0.0000)

Space group = F-43m (216)
Spin magnetization = 0.0 Bohr magnetons per cell
Energy relative to the elements = 0.1456 eV per atom

=====

This record from Alexandria describes an optimized crystal structure of CaAc2Mg. The functional is GGA-PBE.

Lattice parameters (Å, degrees): 3.7941 3.7941 13.6662 82.02 82.02 60.00
Sites, in units of the cell vectors:
Mg (0.0000, 0.0000, 0.0000)
Ac (0.9130, 0.9130, 0.2610)
Ac (0.0870, 0.0870, 0.7390)
Ca (0.5000, 0.5000, 0.5000)

Space group = R-3m (166)
Spin magnetization = 0.0 Bohr magnetons per cell
Energy above the lowest structure with this stoichiometry = 1.21 eV/f.u.
Energy relative to the elements = 0.2850 eV per atom

=====

This record from Alexandria describes an optimized crystal structure of Ca2Ac2Mg15. The functional is GGA-PBE.

Lattice parameters (Å, degrees): 8.0824 8.0824 8.0824 83.25 83.25 83.25
Sites, in units of the cell vectors:
Mg (0.1607, 0.6471, 0.6471)
Mg (0.0000, 0.6985, 0.3015)
Mg (0.8393, 0.3529, 0.3529)
Mg (0.6985, 0.3015, 0.0000)
Mg (0.6985, 0.0000, 0.3015)
Mg (0.3529, 0.3529, 0.8393)
Mg (0.6471, 0.6471, 0.1607)
Mg (0.3529, 0.8393, 0.3529)
Mg (0.5000, 0.0000, 0.0000)
Mg (0.3015, 0.0000, 0.6985)
Mg (0.0000, 0.0000, 0.5000)
Mg (0.0000, 0.3015, 0.6985)
Mg (0.6471, 0.1607, 0.6471)
Mg (0.0000, 0.5000, 0.0000)
Mg (0.3015, 0.6985, 0.0000)
Ca (0.1033, 0.1033, 0.1033)
Ca (0.8967, 0.8967, 0.8967)
Ac (0.3436, 0.3436, 0.3436)
Ac (0.6564, 0.6564, 0.6564)

Space group = R-3m (166)
Spin magnetization = 0.0 Bohr magnetons per cell
Energy relative to the elements = -0.0543 eV per atom

=====

This record from Alexandria describes an optimized crystal structure of CaAc2Mg5. The functional is GGA-PBE.

Lattice parameters (Å, degrees): 5.5205 5.5205 8.9907 107.88 107.88 90.00
Sites, in units of the cell vectors:
Mg (0.3921, 0.8921, 0.7843)
Mg (0.5000, 0.5000, 0.0000)
Mg (0.6079, 0.1079, 0.2157)
Mg (0.8921, 0.3921, 0.7843)
Mg (0.1079, 0.6079, 0.2157)
Ca (0.0000, 0.0000, 0.0000)
Ac (0.7405, 0.7405, 0.4811)
Ac (0.2595, 0.2595, 0.5189)

Space group = I4/mmm (139)
Spin magnetization = 0.0 Bohr magnetons per cell
Energy relative to the elements = -0.0397 eV per atom

=====

This record from Alexandria describes an optimized crystal structure of CaAc4Mg3. The functional is GGA-PBE.

Lattice parameters (Å, degrees): 5.8884 8.4438 11.7768 90.00 90.00 90.00
Sites, in units of the cell vectors:
Mg (0.0000, 0.0000, 0.0000)
Mg (0.4997, 0.5000, 0.2500)
Mg (0.0000, 0.0000, 0.5000)
Mg (0.5003, 0.5000, 0.7500)
Mg (0.4997, 0.0000, 0.2500)
Mg (0.5003, 0.0000, 0.7500)
Ac (0.9998, 0.2364, 0.2500)
Ac (0.5000, 0.2364, 0.0000)
Ac (0.5000, 0.2364, 0.5000)
Ac (0.9998, 0.7636, 0.2500)
Ac (0.0002, 0.2364, 0.7500)
Ac (0.5000, 0.7636, 0.0000)
Ac (0.0002, 0.7636, 0.7500)
Ac (0.5000, 0.7636, 0.5000)
Ca (0.0000, 0.5000, 0.5000)
Ca (0.0000, 0.5000, 0.0000)

Space group = P4/mmm (123)
Spin magnetization = 0.0 Bohr magnetons per cell
Energy relative to the elements = -0.0440 eV per atom

=====

This record from Alexandria describes an optimized crystal structure of CaAc2Mg4. The functional is GGA-PBE.

Lattice parameters (Å, degrees): 5.7150 5.7150 9.6051 72.69 72.69 60.00
Sites, in units of the cell vectors:
Mg (0.1254, 0.1254, 0.6239)
Mg (0.3835, 0.3835, 0.8495)
Mg (0.8746, 0.8746, 0.3761)
Mg (0.6165, 0.6165, 0.1505)
Ac (0.7461, 0.7461, 0.7618)
Ac (0.2539, 0.2539, 0.2382)
Ca (0.0000, 0.0000, 0.0000)

Space group = R-3m (166)
Spin magnetization = 0.0 Bohr magnetons per cell
Energy above the lowest structure with this stoichiometry = 0.00 eV/f.u.
Energy relative to the elements = 0.1644 eV per atom

=====

This record from Alexandria describes an optimized crystal structure of Ca2Ac2Mg. The functional is GGA-PBE.

Lattice parameters (Å, degrees): 8.7371 6.8353 9.8423 72.94 62.68 50.27
Sites, in units of the cell vectors:
Ac (0.6631, 0.3785, 0.7172)
Ac (0.9584, 0.3785, 0.2828)
Ac (0.3369, 0.6215, 0.2828)
Ac (0.0416, 0.6215, 0.7172)
Ca (0.6064, 0.0000, 0.1133)
Ca (0.3936, 0.0000, 0.8867)
Ca (0.7258, 0.0000, 0.4464)
Ca (0.2742, 0.0000, 0.5536)
Mg (0.8535, 0.2931, 0.0000)
Mg (0.1465, 0.7069, 0.0000)

Space group = C2/m (12)
Spin magnetization = 0.0 Bohr magnetons per cell
Energy relative to the elements = 0.1070 eV per atom

=====

This record from Alexandria describes an optimized crystal structure of Ca2Ac2Mg3. The functional is GGA-PBE.

Lattice parameters (Å, degrees): 4.0981 3.9424 15.7115 90.00 82.51 90.00
Sites, in units of the cell vectors:
Ac (0.4331, 0.5000, 0.1338)
Ac (0.5669, 0.5000, 0.8662)
Ca (0.6981, 0.5000, 0.6038)
Ca (0.3019, 0.5000, 0.3962)
Mg (0.0000, 0.0000, 0.0000)
Mg (0.1363, 0.0000, 0.7274)
Mg (0.8637, 0.0000, 0.2726)

Space group = Cmmm (65)
Spin magnetization = 0.0 Bohr magnetons per cell
Energy relative to the elements = -0.0155 eV per atom

=====

This record from Alexandria describes an optimized crystal structure of CaAcMg4. The functional is GGA-PBE.

Lattice parameters (Å, degrees): 6.2902 6.2902 6.2902 60.00 60.00 60.00
Sites, in units of the cell vectors:
Mg (0.6246, 0.6246, 0.6246)
Mg (0.6246, 0.1261, 0.6246)
Mg (0.1261, 0.6246, 0.6246)
Mg (0.6246, 0.6246, 0.1261)
Ac (0.2500, 0.2500, 0.2500)
Ca (0.0000, 0.0000, 0.0000)

Space group = F-43m (216)
Spin magnetization = 0.0 Bohr magnetons per cell
Energy relative to the elements = -0.1181 eV per atom

=====

This record from Alexandria describes an optimized crystal structure of Ca3AcMg2. The functional is GGA-PBE.

Lattice parameters (Å, degrees): 5.6008 7.3275 10.5556 90.00 90.00 90.00
Sites, in units of the cell vectors:
Ca (0.0000, 0.9563, 0.0409)
Ca (0.0000, 0.8275, 0.6902)
Ca (0.0000, 0.3275, 0.3098)
Ca (0.0000, 0.4563, 0.9591)
Ca (0.5000, 0.1752, 0.8180)
Ca (0.5000, 0.6752, 0.1820)
Ac (0.5000, 0.5454, 0.5377)
Ac (0.5000, 0.0454, 0.4623)
Mg (0.0000, 0.2934, 0.6417)
Mg (0.0000, 0.7934, 0.3583)
Mg (0.5000, 0.7022, 0.8598)
Mg (0.5000, 0.2022, 0.1402)

Space group = Pmc2_1 (26)
Spin magnetization = 0.0 Bohr magnetons per cell
Energy relative to the elements = -0.0234 eV per atom

=====

This record from Alexandria describes an optimized crystal structure of Ca3Ac12Mg. The functional is GGA-PBE.

Lattice parameters (Å, degrees): 5.5446 5.5446 22.3193 90.00 90.00 90.00
Sites, in units of the cell vectors:
Ac (0.5000, 0.0000, 0.8804)
Ac (0.5000, 0.0000, 0.1196)
Ac (0.0000, 0.5000, 0.8804)
Ac (0.0000, 0.5000, 0.6269)
Ac (0.5000, 0.0000, 0.3731)
Ac (0.5000, 0.5000, 0.7532)
Ac (0.5000, 0.5000, 0.5000)
Ac (0.5000, 0.5000, 0.2468)
Ac (0.5000, 0.5000, 0.0000)
Ac (0.0000, 0.5000, 0.1196)
Ac (0.0000, 0.5000, 0.3731)
Ac (0.5000, 0.0000, 0.6269)
Ca (0.0000, 0.0000, 0.5000)
Ca (0.0000, 0.0000, 0.2466)
Ca (0.0000, 0.0000, 0.7534)
Mg (0.0000, 0.0000, 0.0000)

Space group = P4/mmm (123)
Spin magnetization = 0.0 Bohr magnetons per cell
Energy relative to the elements = 0.0292 eV per atom